(1)
A plane-wave DFT calculation with PBE was carried out for crystalline AcEuCdGa at its relaxed geometry.

The structure in CIF format:
```
data_AcEuCdGa
_chemical_formula_sum 'Ac1 Eu1 Cd1 Ga1'
_space_group_name_H-M_alt 'P 1'
_space_group_IT_number 1
_cell_length_a 5.567
_cell_length_b 5.567
_cell_length_c 5.567
_cell_angle_alpha 60.00
_cell_angle_beta 60.00
_cell_angle_gamma 60.00
loop_
_space_group_symop_operation_xyz
'x,y,z'
loop_
_atom_site_label
_atom_site_fract_x
_atom_site_fract_y
_atom_site_fract_z
_atom_site_occupancy
Eu1 0.500 0.500 0.500 1
Ac1 0.000 0.000 0.000 1
Ga1 0.250 0.250 0.250 1
Cd1 0.750 0.750 0.750 1
```

Values from the calculation:
symmetry: No. 216
crystal system: cubic
electronic total energy: -4.97 eV per atom
ρ: 7.64 g cm⁻³
magnetic moment: 1.829 μB per atom

=====

(2)
A plane-wave DFT calculation with PBE was carried out for crystalline AcEuCdGe at its relaxed geometry.

The structure in CIF format:
```
data_AcEuCdGe
_chemical_formula_sum 'Ac1 Eu1 Cd1 Ge1'
_space_group_name_H-M_alt 'P 1'
_space_group_IT_number 1
_cell_length_a 5.530
_cell_length_b 5.530
_cell_length_c 5.530
_cell_angle_alpha 60.00
_cell_angle_beta 60.00
_cell_angle_gamma 60.00
loop_
_space_group_symop_operation_xyz
'x,y,z'
loop_
_atom_site_label
_atom_site_fract_x
_atom_site_fract_y
_atom_site_fract_z
_atom_site_occupancy
Eu1 0.000 0.000 0.000 1
Ac1 0.500 0.500 0.500 1
Ge1 0.750 0.750 0.750 1
Cd1 0.250 0.250 0.250 1
```

Values from the calculation:
symmetry: No. 216
crystal system: cubic
electronic total energy: -5.43 eV per atom
ρ: 7.83 g cm⁻³
magnetic moment: 1.904 μB per atom